No. 1
Here is crystalline RbTaTe3 at its relaxed geometry from Alexandria. Energies are from PBE.

## Properties
V (Å³ per cell): 200.8
DOS(E_F) (states/eV/cell): 16.2
E_form (uncorrected) (eV/atom): 2.075

```
data_RbTaTe3
_chemical_formula_sum 'Rb1 Ta1 Te3'
_space_group_name_H-M_alt 'P m -3 m'
_space_group_IT_number 221
_space_group_name_Hall '-P 4 2 3'
_cell_length_a 5.8560
_cell_length_b 5.8560
_cell_length_c 5.8560
_cell_angle_alpha 90.00
_cell_angle_beta 90.00
_cell_angle_gamma 90.00
loop_
_atom_site_label
_atom_site_type_symbol
_atom_site_fract_x
_atom_site_fract_y
_atom_site_fract_z
_atom_site_occupancy
Rb1 Rb 0.0000 0.0000 0.0000 1
Ta1 Ta 0.5000 0.5000 0.5000 1
Te1 Te 0.0000 0.0000 0.5000 1
```

No. 2
Here is crystalline RbTaTe2 at its relaxed geometry from Alexandria. Energies are from PBE.

## Properties
V (Å³ per cell): 646.6
DOS(E_F) (states/eV/cell): 5.7
E_form (uncorrected) (eV/atom): -0.194

```
data_RbTaTe2
_chemical_formula_sum 'Rb4 Ta4 Te8'
_space_group_name_H-M_alt 'I -4 2 d'
_space_group_IT_number 122
_space_group_name_Hall 'I -4 2bw'
_cell_length_a 8.3612
_cell_length_b 8.3612
_cell_length_c 9.2491
_cell_angle_alpha 90.00
_cell_angle_beta 90.00
_cell_angle_gamma 90.00
loop_
_atom_site_label
_atom_site_type_symbol
_atom_site_fract_x
_atom_site_fract_y
_atom_site_fract_z
_atom_site_occupancy
Rb1 Rb 0.0000 0.0000 0.0000 1
Ta1 Ta 0.0000 0.0000 0.5000 1
Te1 Te 0.1565 0.2500 0.6250 1
```

No. 3
Here is crystalline Rb2TaTe3 at its relaxed geometry from Alexandria. Energies are from PBE.

## Properties
V (Å³ per cell): 2128.1
DOS(E_F) (states/eV/cell): 22.2
E_form (uncorrected) (eV/atom): -0.597

```
data_Rb2TaTe3
_chemical_formula_sum 'Rb16 Ta8 Te24'
_space_group_name_H-M_alt 'C 1 2/c 1'
_space_group_IT_number 15
_cell_length_a 7.8947
_cell_length_b 15.0105
_cell_length_c 17.9640
_cell_angle_alpha 90.00
_cell_angle_beta 91.47
_cell_angle_gamma 90.00
loop_
_space_group_symop_operation_xyz
'x,y,z'
'-x,-y,-z'
'-x,y,-z+1/2'
'x,-y,z+1/2'
'x+1/2,y+1/2,z'
'-x+1/2,-y+1/2,-z'
'-x+1/2,y+1/2,-z+1/2'
'x+1/2,-y+1/2,z+1/2'
loop_
_atom_site_label
_atom_site_type_symbol
_atom_site_fract_x
_atom_site_fract_y
_atom_site_fract_z
_atom_site_occupancy
Rb1 Rb 0.2177 0.1888 0.3421 1
Rb2 Rb 0.2473 0.3979 0.0712 1
Ta1 Ta 0.2403 0.4921 0.3382 1
Te1 Te 0.0000 0.0272 0.7500 1
Te2 Te 0.0000 0.4164 0.2500 1
Te3 Te 0.2010 0.3387 0.8673 1
Te4 Te 0.2292 0.1057 0.5409 1
```

No. 4
Here is crystalline Rb4TaTe4 at its relaxed geometry from Alexandria. Energies are from PBE.

## Properties
V (Å³ per cell): 1045.1
DOS(E_F) (states/eV/cell): 9.5
E_form (uncorrected) (eV/atom): -0.695

```
data_Rb4TaTe4
_chemical_formula_sum 'Rb8 Ta2 Te8'
_space_group_name_H-M_alt 'I -4 2 m'
_space_group_IT_number 121
_space_group_name_Hall 'I -4 2'
_cell_length_a 8.6349
_cell_length_b 8.6349
_cell_length_c 14.0159
_cell_angle_alpha 90.00
_cell_angle_beta 90.00
_cell_angle_gamma 90.00
loop_
_atom_site_label
_atom_site_type_symbol
_atom_site_fract_x
_atom_site_fract_y
_atom_site_fract_z
_atom_site_occupancy
Rb1 Rb 0.0000 0.0000 0.1898 1
Rb2 Rb 0.0000 0.5000 0.0000 1
Ta1 Ta 0.0000 0.0000 0.5000 1
Te1 Te 0.1805 0.1805 0.6102 1
```

No. 5
Here is crystalline RbTa4Te8 at its relaxed geometry from Alexandria. Energies are from PBE.

## Properties
V (Å³ per cell): 729.2
DOS(E_F) (states/eV/cell): 15.7
E_form (uncorrected) (eV/atom): -0.339

```
data_RbTa4Te8
_chemical_formula_sum 'Rb2 Ta8 Te16'
_space_group_name_H-M_alt 'C 1 2/m 1'
_space_group_IT_number 12
_cell_length_a 19.1980
_cell_length_b 3.7426
_cell_length_c 13.4860
_cell_angle_alpha 90.00
_cell_angle_beta 131.19
_cell_angle_gamma 90.00
loop_
_space_group_symop_operation_xyz
'x,y,z'
'-x,-y,-z'
'-x,y,-z'
'x,-y,z'
'x+1/2,y+1/2,z'
'-x+1/2,-y+1/2,-z'
'-x+1/2,y+1/2,-z'
'x+1/2,-y+1/2,z'
loop_
_atom_site_label
_atom_site_type_symbol
_atom_site_fract_x
_atom_site_fract_y
_atom_site_fract_z
_atom_site_occupancy
Rb1 Rb 0.0000 0.0000 0.0000 1
Ta1 Ta 0.1544 0.0000 0.4746 1
Ta2 Ta 0.1836 0.5000 0.8718 1
Te1 Te 0.0388 0.0000 0.7445 1
Te2 Te 0.1251 0.5000 0.5977 1
Te3 Te 0.1554 0.5000 0.3179 1
Te4 Te 0.1924 0.5000 0.0853 1
```

No. 6
Here is crystalline Rb3TaTl2Te6 at its relaxed geometry from Alexandria. Energies are from PBE.

## Properties
V (Å³ per cell): 909.3
DOS(E_F) (states/eV/cell): 8.7
E_form (uncorrected) (eV/atom): -0.531

```
data_Rb3TaTl2Te6
_chemical_formula_sum 'Rb6 Ta2 Tl4 Te12'
_space_group_name_H-M_alt 'C 1 2/m 1'
_space_group_IT_number 12
_cell_length_a 7.9283
_cell_length_b 13.7289
_cell_length_c 8.7586
_cell_angle_alpha 90.00
_cell_angle_beta 107.49
_cell_angle_gamma 90.00
loop_
_space_group_symop_operation_xyz
'x,y,z'
'-x,-y,-z'
'-x,y,-z'
'x,-y,z'
'x+1/2,y+1/2,z'
'-x+1/2,-y+1/2,-z'
'-x+1/2,y+1/2,-z'
'x+1/2,-y+1/2,z'
loop_
_atom_site_label
_atom_site_type_symbol
_atom_site_fract_x
_atom_site_fract_y
_atom_site_fract_z
_atom_site_occupancy
Rb1 Rb 0.0000 0.0000 0.0000 1
Rb2 Rb 0.0000 0.3201 0.0000 1
Ta1 Ta 0.0000 0.5000 0.5000 1
Tl1 Tl 0.0000 0.1638 0.5000 1
Te1 Te 0.2111 0.3529 0.6907 1
Te2 Te 0.2237 0.5000 0.3031 1
```

No. 7
Here is crystalline Rb2YTaTe at its relaxed geometry from Alexandria. Energies are from PBE.

## Properties
V (Å³ per cell): 231.2
DOS(E_F) (states/eV/cell): 4.7
E_form (uncorrected) (eV/atom): 1.277

```
data_Rb2YTaTe
_chemical_formula_sum 'Rb2 Y1 Ta1 Te1'
_space_group_name_H-M_alt 'P 4/m m m'
_space_group_IT_number 123
_space_group_name_Hall '-P 4 2'
_cell_length_a 6.7031
_cell_length_b 6.7031
_cell_length_c 5.1463
_cell_angle_alpha 90.00
_cell_angle_beta 90.00
_cell_angle_gamma 90.00
loop_
_atom_site_label
_atom_site_type_symbol
_atom_site_fract_x
_atom_site_fract_y
_atom_site_fract_z
_atom_site_occupancy
Rb1 Rb 0.0000 0.5000 0.0000 1
Y1 Y 0.0000 0.0000 0.0000 1
Ta1 Ta 0.0000 0.0000 0.5000 1
Te1 Te 0.5000 0.5000 0.5000 1
```

No. 8
Here is crystalline RbTaTi3 at its relaxed geometry from Alexandria. Energies are from PBE.

## Properties
V (Å³ per cell): 131.7
DOS(E_F) (states/eV/cell): 9.8
ΔE_f (eV per atom): 1.217

```
data_RbTaTi3
_chemical_formula_sum 'Rb1 Ta1 Ti3'
_space_group_name_H-M_alt 'P m -3 m'
_space_group_IT_number 221
_space_group_name_Hall '-P 4 2 3'
_cell_length_a 5.0873
_cell_length_b 5.0873
_cell_length_c 5.0873
_cell_angle_alpha 90.00
_cell_angle_beta 90.00
_cell_angle_gamma 90.00
loop_
_atom_site_label
_atom_site_type_symbol
_atom_site_fract_x
_atom_site_fract_y
_atom_site_fract_z
_atom_site_occupancy
Rb1 Rb 0.0000 0.0000 0.0000 1
Ta1 Ta 0.5000 0.5000 0.5000 1
Ti1 Ti 0.0000 0.5000 0.5000 1
```

No. 9
Here is crystalline Rb2TaTi at its relaxed geometry from Alexandria. Energies are from PBE.

## Properties
V (Å³ per cell): 880.2
DOS(E_F) (states/eV/cell): 16.4
ΔE_f (eV per atom): 1.645

```
data_Rb2TaTi
_chemical_formula_sum 'Rb8 Ta4 Ti4'
_space_group_name_H-M_alt 'I -4 2 d'
_space_group_IT_number 122
_space_group_name_Hall 'I -4 2bw'
_cell_length_a 13.6975
_cell_length_b 13.6975
_cell_length_c 4.6911
_cell_angle_alpha 90.00
_cell_angle_beta 90.00
_cell_angle_gamma 90.00
loop_
_atom_site_label
_atom_site_type_symbol
_atom_site_fract_x
_atom_site_fract_y
_atom_site_fract_z
_atom_site_occupancy
Rb1 Rb 0.0849 0.7500 0.1250 1
Ta1 Ta 0.0000 0.0000 0.5000 1
Ti1 Ti 0.0000 0.0000 0.0000 1
```

No. 10
Here is crystalline Rb3TaTi at its relaxed geometry from Alexandria. Energies are from PBE.

## Properties
V (Å³ per cell): 307.0
DOS(E_F) (states/eV/cell): 15.6
Offset from the most stable computed form (meV/atom): 0
ΔE_f (eV per atom): 2.145

```
data_Rb3TaTi
_chemical_formula_sum 'Rb3 Ta1 Ti1'
_space_group_name_H-M_alt 'P m -3 m'
_space_group_IT_number 221
_space_group_name_Hall '-P 4 2 3'
_cell_length_a 6.7459
_cell_length_b 6.7459
_cell_length_c 6.7459
_cell_angle_alpha 90.00
_cell_angle_beta 90.00
_cell_angle_gamma 90.00
loop_
_atom_site_label
_atom_site_type_symbol
_atom_site_fract_x
_atom_site_fract_y
_atom_site_fract_z
_atom_site_occupancy
Rb1 Rb 0.0000 0.0000 0.5000 1
Ta1 Ta 0.5000 0.5000 0.5000 1
Ti1 Ti 0.0000 0.0000 0.0000 1
```